#1
Computed, not measured: a relaxed structure of HfSbOs3 at the PBE-GGA level of DFT.

Results
The space group is Pm-3m. The crystal system is cubic. Its total moment is 0.00 μB/cell.

```
HfSbOs3
1.0
4.7410 0.0000 0.0000
0.0000 4.7410 0.0000
0.0000 0.0000 4.7410
Os Sb Hf
3 1 1
Cartesian
0.0000 2.3705 0.0000
2.3705 0.0000 0.0000
0.0000 0.0000 2.3705
0.0000 0.0000 0.0000
2.3705 2.3705 2.3705
```



#2
Computed, not measured: a relaxed structure of HfSbOs3 at the PBE-GGA level of DFT.

Results
The space group is Pm-3m. The crystal system is cubic. Its total moment is 0.00 μB/cell.

```
HfSbOs3
1.0
4.8325 0.0000 0.0000
0.0000 4.8325 0.0000
0.0000 0.0000 4.8325
Os Sb Hf
3 1 1
Cartesian
0.0000 0.0000 2.4163
0.0000 2.4163 0.0000
2.4163 0.0000 0.0000
2.4163 2.4163 2.4163
0.0000 0.0000 0.0000
```



Which of them is least stable? Easy: #2.